Here is crystalline SiRh2Cl at its relaxed geometry from Alexandria via LeMat-Bulk. Energies are from PBE-GGA.

a b c (Å): 3.037 3.037 22.855
angles (deg): 90.00 90.00 120.00
Fractional positions:
Si 0.000 0.000 0.000
Si 0.333 0.667 0.667
Si 0.667 0.333 0.333
Rh 0.000 0.000 0.497
Rh 0.000 0.000 0.734
Rh 0.333 0.667 0.164
Rh 0.333 0.667 0.400
Rh 0.667 0.333 0.067
Rh 0.667 0.333 0.831
Cl 0.000 0.000 0.250
Cl 0.333 0.667 0.917
Cl 0.667 0.333 0.583

Computed properties:
* D(E_F): 13.77 states/eV per cell
* SG: R3m (160)
* distance to the lowest polymorph of the same formula: 53.0 kJ per mole of atoms